! Ac3Np2N7 PBE-GGA relaxed; values from VASP
! space-group type: I4/mmm (139)
! distance to the lowest polymorph of the same formula: 0.000 eV/atom
! formation energy without anion corrections: -1211.1 meV/atom
&SYSTEM
  ibrav = 0, nat = 12, ntyp = 3
/
ATOMIC_SPECIES
Ac 227.00 Ac.upf
Np 237.00 Np.upf
N 14.01 N.upf
CELL_PARAMETERS angstrom
-2.144 2.144 10.923
2.144 -2.144 10.923
2.144 2.144 -10.923
ATOMIC_POSITIONS crystal
Ac 0.000 0.000 0.000
Ac 0.186 0.186 0.000
Ac 0.814 0.814 0.000
Np 0.401 0.401 0.000
Np 0.599 0.599 0.000
N 0.097 0.597 0.500
N 0.302 0.302 0.000
N 0.403 0.903 0.500
N 0.500 0.500 0.000
N 0.597 0.097 0.500
N 0.698 0.698 0.000
N 0.903 0.403 0.500

---

! LaSb2TeI PBE-GGA relaxed; values from VASP
! space-group type: P4/mmm (123)
! distance to the lowest polymorph of the same formula: 0.000 eV/atom
! formation energy without anion corrections: 117.0 meV/atom
&SYSTEM
  ibrav = 0, nat = 5, ntyp = 4
/
ATOMIC_SPECIES
La 138.91 La.upf
Sb 121.76 Sb.upf
Te 127.60 Te.upf
I 126.90 I.upf
CELL_PARAMETERS angstrom
5.756 0.000 0.000
0.000 5.756 0.000
0.000 0.000 5.728
ATOMIC_POSITIONS crystal
La 0.000 0.000 0.000
Sb 0.000 0.500 0.500
Sb 0.500 0.000 0.500
Te 0.500 0.500 0.500
I 0.500 0.500 0.000

---

! Sr2Li4Rh PBE-GGA relaxed; values from VASP
! ΔE_f: 0.0597 eV per atom
! space-group type: I4/mmm (139)
&SYSTEM
  ibrav = 0, nat = 7, ntyp = 3
/
ATOMIC_SPECIES
Sr 87.62 Sr.upf
Li 6.94 Li.upf
Rh 102.91 Rh.upf
CELL_PARAMETERS angstrom
-2.440 2.440 8.270
2.440 -2.440 8.270
2.440 2.440 -8.270
ATOMIC_POSITIONS crystal
Sr 0.138 0.138 0.000
Sr 0.862 0.862 0.000
Li 0.000 0.500 0.500
Li 0.354 0.354 0.000
Li 0.500 0.000 0.500
Li 0.646 0.646 0.000
Rh 0.500 0.500 0.000

---

! Fe2Co2P PBE-GGA relaxed; values from VASP
! ΔE_f: 0.3192 eV per atom
! space-group type: I4/mmm (139)
&SYSTEM
  ibrav = 0, nat = 5, ntyp = 3
/
ATOMIC_SPECIES
Fe 55.84 Fe.upf
Co 58.93 Co.upf
P 30.97 P.upf
CELL_PARAMETERS angstrom
-1.554 1.554 6.464
1.554 -1.554 6.464
1.554 1.554 -6.464
ATOMIC_POSITIONS crystal
Fe 0.095 0.095 0.000
Fe 0.905 0.905 0.000
Co 0.250 0.750 0.500
Co 0.750 0.250 0.500
P 0.500 0.500 0.000

---

! LaPuN2 PBE-GGA relaxed; values from VASP
! space-group type: R3m (160)
! formation energy without anion corrections: -1148.0 meV/atom
&SYSTEM
  ibrav = 0, nat = 4, ntyp = 3
/
ATOMIC_SPECIES
La 138.91 La.upf
Pu 244.00 Pu.upf
N 14.01 N.upf
CELL_PARAMETERS angstrom
1.768 1.021 6.065
-1.768 1.021 6.065
0.000 -2.042 6.065
ATOMIC_POSITIONS crystal
La 0.000 0.000 0.000
Pu 0.829 0.829 0.829
N 0.231 0.231 0.231
N 0.420 0.420 0.420

---

! LiBi6Pt PBE-GGA relaxed; values from VASP
! ΔE_f: -0.0958 eV per atom
! space-group type: C2/m (12)
&SYSTEM
  ibrav = 0, nat = 8, ntyp = 3
/
ATOMIC_SPECIES
Li 6.94 Li.upf
Bi 208.98 Bi.upf
Pt 195.08 Pt.upf
CELL_PARAMETERS angstrom
3.252 -5.633 0.000
3.252 5.633 0.000
-2.327 0.000 6.443
ATOMIC_POSITIONS crystal
Li 0.000 0.000 0.000
Bi 0.146 0.722 0.248
Bi 0.278 0.854 0.752
Bi 0.453 0.453 0.704
Bi 0.547 0.547 0.296
Bi 0.722 0.146 0.248
Bi 0.854 0.278 0.752
Pt 0.000 0.000 0.500

---

! AsH2Ir PBE-GGA relaxed; values from VASP
! space-group type: Cm (8)
! distance to the lowest polymorph of the same formula: 0.084 eV/atom
&SYSTEM
  ibrav = 0, nat = 4, ntyp = 3
/
ATOMIC_SPECIES
As 74.92 As.upf
H 1.01 H.upf
Ir 192.22 Ir.upf
CELL_PARAMETERS angstrom
2.655 -1.522 0.000
2.655 1.522 0.000
-1.395 0.000 6.042
ATOMIC_POSITIONS crystal
As 0.000 0.000 0.000
H 0.224 0.224 0.579
H 0.518 0.518 0.428
Ir 0.588 0.588 0.696

---

! RbZrHSe2 PBE-GGA relaxed; values from VASP
! space-group type: P4/mmm (123)
! distance to the lowest polymorph of the same formula: 0.124 eV/atom
&SYSTEM
  ibrav = 0, nat = 5, ntyp = 4
/
ATOMIC_SPECIES
Rb 85.47 Rb.upf
Zr 91.22 Zr.upf
H 1.01 H.upf
Se 78.96 Se.upf
CELL_PARAMETERS angstrom
5.332 0.000 0.000
0.000 5.332 0.000
0.000 0.000 4.262
ATOMIC_POSITIONS crystal
Rb 0.000 0.000 0.000
Zr 0.500 0.500 0.500
H 0.500 0.500 0.000
Se 0.000 0.500 0.500
Se 0.500 0.000 0.500